A plane-wave DFT calculation with PBE was carried out for crystalline Mn2ZnCd at its relaxed geometry.

## Properties
The energy above the most stable polymorph in this dataset comes out at 17.0 kJ/mol of atoms. For the calculated formation energy, the calculation gives 305.5 meV/atom. As for the spin magnetization: 1.784 μB per atom. The calculation puts the density of states at the Fermi level at 1.050 states/eV/atom.

a = 5.030 Å, b = 5.030 Å, c = 5.030 Å
α = 134.20°, β = 134.20°, γ = 66.78°
Fractional coordinates of all 4 atoms:
Mn 0.000 0.000 0.000
Mn 0.750 0.250 0.500
Zn 0.250 0.750 0.500
Cd 0.500 0.500 0.000

=====

A plane-wave DFT calculation with PBE was carried out for crystalline MnZnCd at its relaxed geometry.

## Properties
For the calculated formation energy, the calculation gives 224.3 meV/atom. As for the spin magnetization: 1.245 μB per atom. The calculation puts the density of states at the Fermi level at 0.603 states/eV/atom.

a = 4.978 Å, b = 4.978 Å, c = 4.978 Å
α = 146.59°, β = 131.31°, γ = 60.34°
Fractional coordinates of all 3 atoms:
Mn 0.000 0.000 0.000
Zn 0.650 0.650 0.000
Cd 0.326 0.326 0.000

=====

A plane-wave DFT calculation with PBE was carried out for crystalline Mn2ZnCd at its relaxed geometry.

## Properties
The energy above the most stable polymorph in this dataset comes out at 11.6 kJ/mol of atoms. For the calculated formation energy, the calculation gives 249.7 meV/atom. As for the spin magnetization: 1.675 μB per atom. The calculation puts the density of states at the Fermi level at 0.634 states/eV/atom.

a = 2.905 Å, b = 3.698 Å, c = 5.897 Å
α = 90.00°, β = 90.00°, γ = 90.00°
Fractional coordinates of all 4 atoms:
Mn 0.000 0.000 0.000
Mn 0.500 0.500 0.231
Zn 0.000 0.000 0.445
Cd 0.500 0.500 0.732

=====

A plane-wave DFT calculation with PBE was carried out for crystalline Mn2ZnCd at its relaxed geometry.

## Properties
The energy above the most stable polymorph in this dataset comes out at 15.2 kJ/mol of atoms. For the calculated formation energy, the calculation gives 286.6 meV/atom. As for the spin magnetization: 1.776 μB per atom. The calculation puts the density of states at the Fermi level at 0.667 states/eV/atom.

a = 4.778 Å, b = 4.778 Å, c = 5.049 Å
α = 100.37°, β = 100.37°, γ = 35.19°
Fractional coordinates of all 4 atoms:
Mn 0.244 0.244 0.229
Mn 0.756 0.756 0.771
Zn 0.500 0.500 0.000
Cd 0.000 0.000 0.500

=====

Which value of calculated formation energy does entry 2 give? 224.3 meV/atom